1.
Below is an optimized crystal structure of Ho5In2HgRh2, with properties calculated at the GGA-PBE level.

Energy (eV per atom): -4.935
Total magnetization (μB per formula unit): 0.00
D(E_F) (states/eV per atom): 0.681
Symmetry: P4/mbm

Lattice parameters (Å, degrees): 3.657 11.701 11.701 90.00 90.00 90.00
Fractional coordinates of all 20 atoms:
Ho  0.500  0.204  0.076
Ho  0.500  0.796  0.924
Ho  0.500  0.076  0.796
Ho  0.500  0.704  0.424
Ho  0.500  0.924  0.204
Ho  0.500  0.296  0.576
Ho  0.500  0.576  0.704
Ho  0.500  0.424  0.296
Ho  0.500  0.500  0.000
Ho  0.500  0.000  0.500
In  0.000  0.675  0.175
In  0.000  0.325  0.825
In  0.000  0.175  0.325
In  0.000  0.825  0.675
Hg  0.000  0.000  0.000
Hg  0.000  0.500  0.500
Rh  0.000  0.132  0.632
Rh  0.000  0.868  0.368
Rh  0.000  0.632  0.868
Rh  0.000  0.368  0.132

2.
Below is an optimized crystal structure of HoInHgRh, with properties calculated at the GGA-PBE level.

Energy (eV per atom): -4.163
Total magnetization (μB per formula unit): 0.00
D(E_F) (states/eV per atom): 0.596
Symmetry: F-43m

Lattice parameters (Å, degrees): 4.904 4.904 4.904 60.00 60.00 60.00
Fractional coordinates of all 4 atoms:
In  0.750  0.750  0.750
Rh  0.000  0.000  0.000
Hg  0.500  0.500  0.500
Ho  0.250  0.250  0.250

3.
Below is an optimized crystal structure of Sm2HoIn2Hg2, with properties calculated at the GGA-PBE level.

Energy (eV per atom): -3.133
Total magnetization (μB per formula unit): 0.00
D(E_F) (states/eV per atom): 0.556
Symmetry: R-3m

Lattice parameters (Å, degrees): 4.951 4.951 9.457 74.83 74.83 60.00
Fractional coordinates of all 7 atoms:
Sm  0.129  0.129  0.614
Sm  0.871  0.871  0.386
Ho  0.000  0.000  0.000
In  0.729  0.729  0.813
In  0.271  0.271  0.187
Hg  0.584  0.584  0.247
Hg  0.416  0.416  0.753

4.
Below is an optimized crystal structure of SrHo2In2Hg2, with properties calculated at the GGA-PBE level.

Energy (eV per atom): -2.753
Total magnetization (μB per formula unit): 0.00
D(E_F) (states/eV per atom): 0.329
Symmetry: R-3m

Lattice parameters (Å, degrees): 5.012 5.012 9.910 75.35 75.35 60.00
Fractional coordinates of all 7 atoms:
Sr  0.000  0.000  0.000
Ho  0.134  0.134  0.598
Ho  0.866  0.866  0.402
In  0.744  0.744  0.769
In  0.256  0.256  0.231
Hg  0.562  0.562  0.313
Hg  0.438  0.438  0.687